ZrBeBr2: optimized geometry, PBE.

Summary:
The crystal system is orthorhombic. For the energy relative to the lowest polymorph listed for this composition, the calculation gives 1.825 kcal/mol of atoms.

Cell: 3.842 5.596 8.717 Å, 90.00 90.00 90.00°
Space group Cmm2 (No. 35)
Symmetry-distinct sites (fractional):
Zr (0.000, 0.000, 0.000) x2
Be (0.000, 0.500, 0.809) x2
Br (0.000, 0.000, 0.663) x2
Br (0.000, 0.500, 0.231) x2

---

ZrBeBr2: optimized geometry, PBE.

Summary:
The crystal system is trigonal. For the energy relative to the lowest polymorph listed for this composition, the calculation gives 0.886 kcal/mol of atoms.

Cell: 3.4063 3.4063 29.2547 Å, 90.00 90.00 120.00°
Space group R3m (No. 160, hexagonal axes)
Symmetry-distinct sites (fractional):
Zr (0.0000, 0.0000, 0.0000) x3
Be (0.0000, 0.0000, 0.7429) x3
Br (0.0000, 0.0000, 0.2680) x3
Br (0.0000, 0.0000, 0.4553) x3

---

Zr2BeBr2: optimized geometry, PBE.

Summary:
The crystal system is tetragonal. For the energy relative to the lowest polymorph listed for this composition, the calculation gives 0.000 kcal/mol of atoms.

Cell: 6.854 6.854 4.642 Å, 90.00 90.00 90.00°
Space group P4/mbm (No. 127)
Symmetry-distinct sites (fractional):
Zr (0.173, 0.327, 0.000) x4
Be (0.000, 0.000, 0.000) x2
Br (0.169, 0.669, 0.500) x4

---

ZrBeBr2: optimized geometry, PBE.

Summary:
The crystal system is cubic. For the energy relative to the lowest polymorph listed for this composition, the calculation gives 16.842 kcal/mol of atoms.

Cell: 6.791 6.791 6.791 Å, 90.00 90.00 90.00°
Space group Fm-3m (No. 225)
Symmetry-distinct sites (fractional):
Zr (0.000, 0.000, 0.000) x4
Be (0.000, 0.000, 0.500) x4
Br (0.250, 0.250, 0.250) x8

---

ZrBe2Br2: optimized geometry, PBE.

Summary:
The crystal system is tetragonal. For the energy relative to the lowest polymorph listed for this composition, the calculation gives 0.000 kcal/mol of atoms.

Cell: 3.214 3.214 23.085 Å, 90.00 90.00 90.00°
Space group I4/mmm (No. 139)
Symmetry-distinct sites (fractional):
Zr (0.000, 0.000, 0.000) x2
Be (0.000, 0.500, 0.250) x4
Br (0.000, 0.000, 0.426) x4

---

ZrBe2Br2: optimized geometry, PBE.

Summary:
The crystal system is tetragonal. For the energy relative to the lowest polymorph listed for this composition, the calculation gives 10.103 kcal/mol of atoms.

Cell: 7.571 7.571 3.381 Å, 90.00 90.00 90.00°
Space group P4/mbm (No. 127)
Symmetry-distinct sites (fractional):
Zr (0.000, 0.000, 0.000) x2
Be (0.231, 0.269, 0.500) x4
Br (0.141, 0.641, 0.000) x4

---

ZrBeBr2: optimized geometry, PBE.

Summary:
The crystal system is monoclinic. For the energy relative to the lowest polymorph listed for this composition, the calculation gives 14.436 kcal/mol of atoms.

Cell: 6.292 8.940 3.387 Å, 90.00 117.47 90.00°
Space group C2/m (No. 12)
Symmetry-distinct sites (fractional):
Zr (0.000, 0.000, 0.000) x2
Be (0.000, 0.500, 0.000) x2
Br (0.250, 0.250, 0.000) x4

---

ZrBeBr2: optimized geometry, PBE.

Summary:
The crystal system is orthorhombic. For the energy relative to the lowest polymorph listed for this composition, the calculation gives 3.280 kcal/mol of atoms.

Cell: 3.361 4.198 15.910 Å, 90.00 90.00 90.00°
Space group Immm (No. 71)
Symmetry-distinct sites (fractional):
Zr (0.000, 0.000, 0.000) x2
Be (0.000, 0.000, 0.500) x2
Br (0.000, 0.500, 0.363) x4

---

ZrBe2Br: optimized geometry, PBE.

Summary:
The crystal system is monoclinic. For the energy relative to the lowest polymorph listed for this composition, the calculation gives 5.468 kcal/mol of atoms.

Cell: 9.121 3.340 4.446 Å, 90.00 111.59 90.00°
Space group Cm (No. 8)
Symmetry-distinct sites (fractional):
Zr (0.000, 0.000, 0.000) x2
Be (0.266, 0.500, 0.299) x2
Be (0.451, 0.000, 0.435) x2
Br (0.234, 0.000, 0.690) x2

---

ZrBeBr2: optimized geometry, PBE.

Summary:
The crystal system is orthorhombic. For the energy relative to the lowest polymorph listed for this composition, the calculation gives 14.751 kcal/mol of atoms.

Cell: 3.318 6.206 10.391 Å, 90.00 90.00 90.00°
Space group Cmmm (No. 65)
Symmetry-distinct sites (fractional):
Zr (0.000, 0.000, 0.000) x2
Be (0.000, 0.000, 0.500) x2
Br (0.000, 0.500, 0.207) x4

---

Be2C: optimized geometry, PBE.

Summary:
The crystal system is orthorhombic. For the energy relative to the lowest polymorph listed for this composition, the calculation gives 8.213 kcal/mol of atoms. As for the formation energy: 0.115 eV/atom.

Cell: 3.305 5.012 9.057 Å, 90.00 90.00 90.00°
Space group Imma (No. 74)
Symmetry-distinct sites (fractional):
Be (0.000, 0.000, 0.000) x4
Be (0.000, 0.250, 0.319) x4
C (0.000, 0.250, 0.118) x4

---

Be2C: optimized geometry, PBE.

Summary:
The crystal system is orthorhombic. For the energy relative to the lowest polymorph listed for this composition, the calculation gives 20.942 kcal/mol of atoms. As for the formation energy: 0.667 eV/atom.

Cell: 2.848 11.183 2.776 Å, 90.00 90.00 90.00°
Space group Cmmm (No. 65)
Symmetry-distinct sites (fractional):
Be (0.000, 0.000, 0.000) x2
Be (0.000, 0.154, 0.500) x4
Be (0.000, 0.500, 0.500) x2
C (0.000, 0.383, 0.000) x4

---

Be2C: optimized geometry, PBE.

Summary:
The crystal system is triclinic. For the energy relative to the lowest polymorph listed for this composition, the calculation gives 17.932 kcal/mol of atoms. As for the formation energy: 0.536 eV/atom.

Cell: 2.175 2.919 4.194 Å, 84.65 75.14 68.18°
Space group P1 (No. 1)
Symmetry-distinct sites (fractional):
Be (0.000, 0.000, 0.000) x1
Be (0.243, 0.998, 0.514) x1
C (0.832, 0.577, 0.757) x1

---

BeC3: optimized geometry, PBE.

Summary:
The crystal system is tetragonal. For the energy relative to the lowest polymorph listed for this composition, the calculation gives 45.776 kcal/mol of atoms. As for the formation energy: 2.891 eV/atom.

Cell: 3.218 3.218 2.646 Å, 90.00 90.00 90.00°
Space group P4/mmm (No. 123)
Symmetry-distinct sites (fractional):
Be (0.000, 0.000, 0.000) x1
C (0.000, 0.500, 0.500) x2
C (0.500, 0.500, 0.000) x1

---

BeC3: optimized geometry, PBE.

Summary:
The crystal system is orthorhombic. For the energy relative to the lowest polymorph listed for this composition, the calculation gives 30.417 kcal/mol of atoms. As for the formation energy: 2.225 eV/atom.

Cell: 2.902 7.126 3.563 Å, 90.00 90.00 90.00°
Space group Cmmm (No. 65)
Symmetry-distinct sites (fractional):
Be (0.000, 0.000, 0.000) x2
C (0.000, 0.500, 0.000) x2
C (0.250, 0.250, 0.500) x4

---

Be2C: optimized geometry, PBE.

Summary:
The crystal system is trigonal. For the energy relative to the lowest polymorph listed for this composition, the calculation gives 18.533 kcal/mol of atoms. As for the formation energy: 0.562 eV/atom.

Cell: 2.9893 2.9893 9.0147 Å, 90.00 90.00 120.00°
Space group R3m (No. 160, hexagonal axes)
Symmetry-distinct sites (fractional):
Be (0.0000, 0.0000, 0.0000) x3
Be (0.0000, 0.0000, 0.1954) x3
C (0.0000, 0.0000, 0.7992) x3

---

Be2C: optimized geometry, PBE.

Summary:
The crystal system is trigonal. For the energy relative to the lowest polymorph listed for this composition, the calculation gives 8.583 kcal/mol of atoms. As for the formation energy: 0.131 eV/atom.

Cell: 3.0876 3.0876 18.0262 Å, 90.00 90.00 120.00°
Space group R3m (No. 160, hexagonal axes)
Symmetry-distinct sites (fractional):
Be (0.0000, 0.0000, 0.0000) x3
Be (0.0000, 0.0000, 0.1716) x3
Be (0.0000, 0.0000, 0.5713) x3
Be (0.0000, 0.0000, 0.7549) x3
C (0.0000, 0.0000, 0.6663) x3
C (0.0000, 0.0000, 0.8516) x3

---

Be5C3: optimized geometry, PBE.

Summary:
The crystal system is orthorhombic. For the energy relative to the lowest polymorph listed for this composition, the calculation gives 1.823 kcal/mol of atoms. As for the formation energy: 0.399 eV/atom.

Cell: 5.059 7.254 3.012 Å, 90.00 90.00 90.00°
Space group Cmmm (No. 65)
Symmetry-distinct sites (fractional):
Be (0.000, 0.000, 0.000) x2
Be (0.193, 0.500, 0.500) x4
Be (0.250, 0.250, 0.000) x4
C (0.000, 0.130, 0.500) x4
C (0.000, 0.500, 0.000) x2

---

BeC3: optimized geometry, PBE.

Summary:
The crystal system is monoclinic. For the energy relative to the lowest polymorph listed for this composition, the calculation gives 0.000 kcal/mol of atoms. As for the formation energy: 0.906 eV/atom.

Cell: 7.327 2.536 2.987 Å, 90.00 103.39 90.00°
Space group C2/m (No. 12)
Symmetry-distinct sites (fractional):
Be (0.000, 0.000, 0.000) x2
C (0.000, 0.500, 0.500) x2
C (0.200, 0.500, 0.506) x4

---

Be2C: optimized geometry, PBE.

Summary:
The crystal system is hexagonal. For the energy relative to the lowest polymorph listed for this composition, the calculation gives 9.773 kcal/mol of atoms. As for the formation energy: 0.183 eV/atom.

Cell: 3.1595 3.1595 3.2513 Å, 90.00 90.00 120.00°
Space group P-6m2 (No. 187)
Symmetry-distinct sites (fractional):
Be (0.0000, 0.0000, 0.0000) x1
Be (0.3333, 0.6667, 0.5000) x1
C (0.3333, 0.6667, 0.0000) x1